(1)
Entry from Alexandria via LeMat-Bulk: a geometry-optimized LaY2Ga structure (PBE-GGA).

a = 3.5674 Å, b = 3.5674 Å, c = 9.0775 Å
α = 90.00°, β = 90.00°, γ = 90.00°
With the nearest neighbours (Å) after each atom.
Positions (direct):
La 0.5000 0.5000 0.5000  4 La 3.57, 8 Y 3.70
Y 0.0000 0.0000 0.7989  4 Ga 3.11
Y 0.0000 0.0000 0.2011  4 Ga 3.11
Ga 0.5000 0.5000 0.0000  8 Y 3.11

Properties
As for the space group: P4/mmm, No. 123. Its offset from the most stable computed form is 0 meV/atom. As for the total energy: -5.5169 eV per atom. As for the total magnetization: 0.00 Bohr magnetons per cell.


(2)
Entry from Alexandria via LeMat-Bulk: a geometry-optimized La2Y2Ga structure (PBE-GGA).

a = 7.8873 Å, b = 7.8873 Å, c = 5.1825 Å
α = 90.00°, β = 90.00°, γ = 90.00°
With the nearest neighbours (Å) after each atom.
Positions (direct):
Ga 0.0000 0.0000 0.0000  4 Y 2.99
Ga 0.5000 0.5000 0.0000  4 Y 2.99
Y 0.3463 0.8463 0.0000  2 Ga 2.99
Y 0.1537 0.3463 0.0000  2 Ga 2.99
Y 0.6537 0.1537 0.0000  2 Ga 2.99
Y 0.8463 0.6537 0.0000  2 Ga 2.99
La 0.8450 0.3450 0.5000  6 Y 3.36-3.56, 1 La 3.46
La 0.1550 0.6550 0.5000  6 Y 3.36-3.56, 1 La 3.46
La 0.3450 0.1550 0.5000  6 Y 3.36-3.56, 1 La 3.46
La 0.6550 0.8450 0.5000  6 Y 3.36-3.56, 1 La 3.46

Properties
As for the space group: P4/mbm, No. 127. As for the total energy: -5.2350 eV per atom. As for the total magnetization: 0.00 Bohr magnetons per cell.


(3)
Entry from Alexandria via LeMat-Bulk: a geometry-optimized LaY3Ga2 structure (PBE-GGA).

a = 5.0342 Å, b = 6.6427 Å, c = 9.6857 Å
α = 90.00°, β = 90.00°, γ = 90.00°
With the nearest neighbours (Å) after each atom.
Positions (direct):
Y 0.5000 0.6687 0.1724  4 Ga 3.01-3.17
Y 0.5000 0.1687 0.8276  4 Ga 3.01-3.17
Y 0.0000 0.4647 0.9449  3 Ga 3.10-3.14, 3 Y 3.39-3.47
Y 0.0000 0.8308 0.6889  4 Ga 3.05-3.25
Y 0.0000 0.3308 0.3111  4 Ga 3.05-3.25
Y 0.0000 0.9647 0.0551  3 Ga 3.10-3.14, 3 Y 3.39-3.47
Ga 0.0000 0.2848 0.6450  5 Y 3.05-3.25, 2 La 3.18
Ga 0.5000 0.2099 0.1373  6 Y 3.01-3.13, 1 La 3.24
Ga 0.5000 0.7099 0.8627  6 Y 3.01-3.13, 1 La 3.24
Ga 0.0000 0.7848 0.3550  5 Y 3.05-3.25, 2 La 3.18
La 0.5000 0.5412 0.5493  5 Ga 3.18-3.54, 2 Y 3.44, 2 La 3.46
La 0.5000 0.0412 0.4507  5 Ga 3.18-3.54, 2 Y 3.44, 2 La 3.46

Properties
As for the space group: Pmc2_1, No. 26. As for the total energy: -5.4896 eV per atom. As for the total magnetization: 0.00 Bohr magnetons per cell.


(4)
Entry from Alexandria via LeMat-Bulk: a geometry-optimized LaYGa structure (PBE-GGA).

a = 4.4672 Å, b = 6.3883 Å, c = 8.4918 Å
α = 125.18°, β = 90.00°, γ = 110.47°
With the nearest neighbours (Å) after each atom.
Positions (direct):
Ga 0.8700 0.7399 0.8261  1 Ga 2.67, 2 Y 2.98
Ga 0.1300 0.2601 0.1739  1 Ga 2.67, 2 Y 2.98
La 0.5889 0.1778 0.8669  5 Ga 3.23-3.59
La 0.4111 0.8222 0.1331  5 Ga 3.23-3.59
Y 0.1753 0.3506 0.5737  3 Ga 2.98-3.09
Y 0.8247 0.6494 0.4263  3 Ga 2.98-3.09

Properties
As for the space group: C2/m, No. 12. Its offset from the most stable computed form is 30 meV/atom. As for the total energy: -5.1692 eV per atom. As for the total magnetization: 1.04 Bohr magnetons per cell.


(5)
Entry from Alexandria via LeMat-Bulk: a geometry-optimized La6YGa2 structure (PBE-GGA).

a = 3.8260 Å, b = 6.8370 Å, c = 11.8803 Å
α = 75.30°, β = 80.73°, γ = 73.75°
With the nearest neighbours (Å) after each atom.
Positions (direct):
La 0.3158 0.4923 0.8761  2 Ga 3.23, 3 La 3.38-3.50
La 0.6951 0.2113 0.3986  2 Ga 3.36, 4 La 3.38-3.75
La 0.0327 0.2611 0.6735  2 Ga 3.22, 1 La 3.39
La 0.9673 0.7389 0.3265  2 Ga 3.22, 1 La 3.39
La 0.6842 0.5077 0.1239  2 Ga 3.23, 3 La 3.38-3.50
La 0.3049 0.7887 0.6014  2 Ga 3.36, 4 La 3.38-3.75
Ga 0.6429 0.8984 0.8158  2 Y 3.07, 6 La 3.22-3.36
Ga 0.3571 0.1016 0.1842  2 Y 3.07, 6 La 3.22-3.36
Y 0.0000 0.0000 0.0000  4 Ga 3.07

Properties
As for the space group: C2/m, No. 12. As for the total energy: -4.9296 eV per atom. As for the total magnetization: 0.00 Bohr magnetons per cell.


(6)
Entry from Alexandria via LeMat-Bulk: a geometry-optimized LaYGa6 structure (PBE-GGA).

a = 4.6114 Å, b = 6.4477 Å, c = 6.4477 Å
α = 120.01°, β = 90.00°, γ = 90.00°
With the nearest neighbours (Å) after each atom.
Positions (direct):
Y 0.0000 0.0833 0.9167  12 Ga 3.12-3.24
La 0.5000 0.4166 0.5834  12 Ga 3.15-3.23
Ga 0.5000 0.4595 0.1049  6 Ga 2.81, 2 Y 3.12
Ga 0.5000 0.8951 0.5405  6 Ga 2.81, 2 Y 3.12
Ga 0.0000 0.6086 0.9673  6 Ga 2.73-2.81
Ga 0.0000 0.6085 0.3915  6 Ga 2.74-2.81
Ga 0.0000 0.0327 0.3914  6 Ga 2.73-2.81
Ga 0.5000 0.8954 0.1046  6 Ga 2.81, 2 Y 3.12

Properties
As for the space group: P-6m2, No. 187. As for the total energy: -4.2575 eV per atom. As for the total magnetization: 0.00 Bohr magnetons per cell.


(7)
Entry from Alexandria via LeMat-Bulk: a geometry-optimized LaYGa structure (PBE-GGA).

a = 3.9875 Å, b = 5.0088 Å, c = 5.0088 Å
α = 120.00°, β = 90.00°, γ = 90.00°
With the nearest neighbours (Å) after each atom.
Positions (direct):
Y 0.1015 0.0000 0.0000  3 Ga 2.95
Ga 0.2539 0.3333 0.6667  3 Y 2.95, 3 La 3.28
La 0.6446 0.6667 0.3333  3 Ga 3.28, 6 Y 3.42-3.61

Properties
As for the space group: P3m1, No. 156. Its offset from the most stable computed form is 115 meV/atom. As for the total energy: -5.0840 eV per atom. As for the total magnetization: 0.00 Bohr magnetons per cell.


(8)
Entry from Alexandria via LeMat-Bulk: a geometry-optimized LaY2Ga structure (PBE-GGA).

a = 4.9357 Å, b = 4.9357 Å, c = 6.5570 Å
α = 67.89°, β = 67.89°, γ = 60.00°
With the nearest neighbours (Å) after each atom.
Positions (direct):
La 0.4920 0.4920 0.5239  4 Ga 3.40-3.80, 6 Y 3.45-3.52
Y 0.2756 0.2756 0.1733  3 Ga 3.14, 3 Y 3.42
Y 0.0485 0.0485 0.8545  3 Ga 2.90
Ga 0.6839 0.6839 0.9483  6 Y 2.90-3.14

Properties
As for the space group: R3m, No. 160. Its offset from the most stable computed form is 177 meV/atom. As for the total energy: -5.3394 eV per atom. As for the total magnetization: 0.00 Bohr magnetons per cell.


(9)
Entry from Alexandria via LeMat-Bulk: a geometry-optimized La2YGa4 structure (PBE-GGA).

a = 4.2242 Å, b = 4.3559 Å, c = 10.0380 Å
α = 102.53°, β = 102.15°, γ = 90.00°
With the nearest neighbours (Å) after each atom.
Positions (direct):
Ga 0.9364 0.4364 0.8729  3 Ga 2.43-2.53
Ga 0.6362 0.6362 0.2724  2 Ga 2.53
Ga 0.0636 0.5636 0.1271  3 Ga 2.43-2.53
Ga 0.3638 0.3638 0.7276  2 Ga 2.53
Y 0.5000 0.0000 0.0000  12 Ga 3.27-3.40
La 0.1846 0.1846 0.3691  7 Ga 3.17-3.43
La 0.8154 0.8154 0.6309  7 Ga 3.17-3.43

Properties
As for the space group: Immm, No. 71. As for the total energy: -4.6763 eV per atom. As for the total magnetization: 0.28 Bohr magnetons per cell.


(10)
Entry from Alexandria via LeMat-Bulk: a geometry-optimized LaY2Ga structure (PBE-GGA).

a = 3.5442 Å, b = 3.5442 Å, c = 11.4807 Å
α = 81.12°, β = 81.12°, γ = 60.00°
With the nearest neighbours (Å) after each atom.
Positions (direct):
La 0.0000 0.0000 0.0000  2 Y 3.50, 6 La 3.54
Y 0.8968 0.8968 0.3097  3 Ga 2.97
Y 0.1032 0.1032 0.6903  3 Ga 2.97
Ga 0.5000 0.5000 0.5000  6 Y 2.97

Properties
As for the space group: R-3m, No. 166. Its offset from the most stable computed form is 221 meV/atom. As for the total energy: -5.2955 eV per atom. As for the total magnetization: 0.00 Bohr magnetons per cell.


(11)
Entry from Alexandria via LeMat-Bulk: a geometry-optimized LaYGa structure (PBE-GGA).

a = 3.5815 Å, b = 3.5815 Å, c = 7.2105 Å
α = 104.38°, β = 104.38°, γ = 90.00°
With the nearest neighbours (Å) after each atom.
Positions (direct):
La 0.5951 0.5951 0.1903  4 Ga 3.26, 4 La 3.58
Y 0.3119 0.3119 0.6237  4 Ga 3.09
Ga 0.9430 0.9430 0.8860  4 Y 3.09, 4 La 3.26

Properties
As for the space group: I4mm, No. 107. Its offset from the most stable computed form is 35 meV/atom. As for the total energy: -5.1640 eV per atom. As for the total magnetization: 0.00 Bohr magnetons per cell.


(12)
Entry from Alexandria via LeMat-Bulk: a geometry-optimized LaYGa4 structure (PBE-GGA).

a = 5.6267 Å, b = 5.6267 Å, c = 5.6267 Å
α = 60.00°, β = 60.00°, γ = 60.00°
With the nearest neighbours (Å) after each atom.
Positions (direct):
Ga 0.6250 0.6250 0.1249  6 Ga 2.81
Ga 0.1249 0.6250 0.6250  6 Ga 2.81
Ga 0.6250 0.6250 0.6250  6 Ga 2.81
Ga 0.6250 0.1249 0.6250  6 Ga 2.81
Y 0.2500 0.2500 0.2500  12 Ga 3.30, 4 La 3.45
La 0.0000 0.0000 0.0000  12 Ga 3.30, 4 Y 3.45

Properties
As for the space group: F-43m, No. 216. Its offset from the most stable computed form is 113 meV/atom. As for the total energy: -4.4726 eV per atom. As for the total magnetization: 0.00 Bohr magnetons per cell.


- The highest total magnetization belongs to which entry?
  number 4


Copy entry 12 word for word.
Entry from Alexandria via LeMat-Bulk: a geometry-optimized LaYGa4 structure (PBE-GGA).

a = 5.6267 Å, b = 5.6267 Å, c = 5.6267 Å
α = 60.00°, β = 60.00°, γ = 60.00°
With the nearest neighbours (Å) after each atom.
Positions (direct):
Ga 0.6250 0.6250 0.1249  6 Ga 2.81
Ga 0.1249 0.6250 0.6250  6 Ga 2.81
Ga 0.6250 0.6250 0.6250  6 Ga 2.81
Ga 0.6250 0.1249 0.6250  6 Ga 2.81
Y 0.2500 0.2500 0.2500  12 Ga 3.30, 4 La 3.45
La 0.0000 0.0000 0.0000  12 Ga 3.30, 4 Y 3.45

Properties
As for the space group: F-43m, No. 216. Its offset from the most stable computed form is 113 meV/atom. As for the total energy: -4.4726 eV per atom. As for the total magnetization: 0.00 Bohr magnetons per cell.


- What is the total magnetization in the ninth record?
  0.28 Bohr magnetons per cell